# 1
{"formula": "LaTaSN2", "functional": "PBE", "state": "relaxed", "lattice": [[4.1268, 0.0000, 0.0000], [0.0000, 4.1268, 0.0000], [0.0000, 0.0000, 4.8240]], "species": ["La", "Ta", "S", "N", "N"], "fractional_positions": [[0.0000, 0.0000, 0.0000], [0.5000, 0.5000, 0.5000], [0.5000, 0.5000, 0.0000], [0.0000, 0.5000, 0.5000], [0.5000, 0.0000, 0.5000]], "final_energy_ev_per_atom": -8.59, "rho_g_cm3": 7.68, "spacegroup": "P4/mmm (123)", "magnetic_moment_mub_per_fu": 0.00}

=====

# 2
{"formula": "LaTaSN2", "functional": "PBE", "state": "relaxed", "lattice": [[4.1520, 0.0000, 0.0000], [0.0000, 4.1520, 0.0000], [0.0000, 0.0000, 5.6939]], "species": ["La", "Ta", "S", "N", "N"], "fractional_positions": [[0.0000, 0.0000, 0.0000], [0.5000, 0.5000, 0.5000], [0.0000, 0.0000, 0.5000], [0.0000, 0.5000, 0.0000], [0.5000, 0.0000, 0.0000]], "final_energy_ev_per_atom": -6.34, "rho_g_cm3": 6.43, "spacegroup": "P4/mmm (123)", "magnetic_moment_mub_per_fu": 2.02}

=====

# 3
{"formula": "LaTaSN2", "functional": "PBE", "state": "relaxed", "lattice": [[3.9549, 0.0000, 0.0000], [0.0000, 3.9549, 0.0000], [0.0000, 0.0000, 5.8182]], "species": ["La", "Ta", "S", "N", "N"], "fractional_positions": [[0.0000, 0.0000, 0.0000], [0.5000, 0.5000, 0.3444], [0.5000, 0.5000, 0.7519], [0.0000, 0.5000, 0.2455], [0.5000, 0.0000, 0.2455]], "final_energy_ev_per_atom": -8.98, "rho_g_cm3": 6.93, "spacegroup": "P4mm (99)", "magnetic_moment_mub_per_fu": 0.00}

=====

# 4
{"formula": "LaTbSN", "functional": "PBE", "state": "relaxed", "lattice": [[3.7414, 0.0000, 0.0000], [-1.8707, 3.2401, 0.0000], [0.0000, 0.0000, 19.6612]], "species": ["La", "La", "La", "Tb", "Tb", "Tb", "S", "S", "S", "N", "N", "N"], "fractional_positions": [[0.0000, 0.0000, 0.0000], [0.3333, 0.6667, 0.6667], [0.6667, 0.3333, 0.3333], [0.0000, 0.0000, 0.5258], [0.3333, 0.6667, 0.1924], [0.6667, 0.3333, 0.8591], [0.0000, 0.0000, 0.7683], [0.3333, 0.6667, 0.4350], [0.6667, 0.3333, 0.1016], [0.0000, 0.0000, 0.2558], [0.3333, 0.6667, 0.9224], [0.6667, 0.3333, 0.5891]], "final_energy_ev_per_atom": -7.30, "rho_g_cm3": 7.19, "spacegroup": "R3m (160)", "magnetic_moment_mub_per_fu": 0.00}

=====

# 5
{"formula": "LaTcSN2", "functional": "PBE", "state": "relaxed", "lattice": [[3.9861, 0.0000, 0.0000], [0.0000, 3.9861, 0.0000], [0.0000, 0.0000, 4.8421]], "species": ["La", "Tc", "S", "N", "N"], "fractional_positions": [[0.0000, 0.0000, 0.0000], [0.5000, 0.5000, 0.5000], [0.5000, 0.5000, 0.0000], [0.0000, 0.5000, 0.5000], [0.5000, 0.0000, 0.5000]], "final_energy_ev_per_atom": -7.79, "rho_g_cm3": 6.41, "spacegroup": "P4/mmm (123)", "magnetic_moment_mub_per_fu": 0.00}

=====

# 6
{"formula": "LaTcSN2", "functional": "PBE", "state": "relaxed", "lattice": [[4.1729, 0.0000, 0.0000], [0.0000, 4.1729, 0.0000], [0.0000, 0.0000, 5.9882]], "species": ["La", "Tc", "S", "N", "N"], "fractional_positions": [[0.0000, 0.0000, 0.0000], [0.5000, 0.5000, 0.5000], [0.0000, 0.0000, 0.5000], [0.0000, 0.5000, 0.0000], [0.5000, 0.0000, 0.0000]], "final_energy_ev_per_atom": -6.00, "rho_g_cm3": 4.73, "spacegroup": "P4/mmm (123)", "magnetic_moment_mub_per_fu": 4.65}

=====

# 7
{"formula": "LaTeSN2", "functional": "PBE", "state": "relaxed", "lattice": [[4.2165, 0.0000, 0.0000], [0.0000, 4.2165, 0.0000], [0.0000, 0.0000, 5.0164]], "species": ["La", "Te", "S", "N", "N"], "fractional_positions": [[0.0000, 0.0000, 0.0000], [0.5000, 0.5000, 0.5000], [0.5000, 0.5000, 0.0000], [0.0000, 0.5000, 0.5000], [0.5000, 0.0000, 0.5000]], "final_energy_ev_per_atom": -5.66, "rho_g_cm3": 6.08, "spacegroup": "P4/mmm (123)", "magnetic_moment_mub_per_fu": 0.10}

=====

# 8
{"formula": "LaTeSN2", "functional": "PBE", "state": "relaxed", "lattice": [[4.3799, 0.0000, 0.0000], [0.0000, 4.3799, 0.0000], [0.0000, 0.0000, 4.8410]], "species": ["La", "Te", "S", "N", "N"], "fractional_positions": [[0.0000, 0.0000, 0.0000], [0.5000, 0.5000, 0.0000], [0.5000, 0.5000, 0.5000], [0.0000, 0.5000, 0.5000], [0.5000, 0.0000, 0.5000]], "final_energy_ev_per_atom": -4.89, "rho_g_cm3": 5.84, "spacegroup": "P4/mmm (123)", "magnetic_moment_mub_per_fu": 0.89}